1.
DFT (PBE) results for an optimized crystal structure of La2ScAg4.

Values from the calculation:
crystal system	monoclinic
total magnetization	0.0	μB per cell
D(E_F)	5.219	states/eV/f.u.
ΔH_f (0 K)	-139	meV per atom

abc: 5.1506 4.6546 7.3730
angles: 90.00 91.01 90.00
Closest atoms and distances in Å follow each position.
Space group P2/m (No. 10)
Unique sites:
1 La 0.2468 0.0000 0.1585 [2 per cell]  7 Ag 3.07-3.39, 1 La 3.42
2 Sc 0.5000 0.5000 0.5000 [1 per cell]  6 Ag 2.81-3.00
3 Ag 0.2316 0.5000 0.8574 [2 per cell]  3 Ag 2.99-3.21, 1 Sc 3.00, 2 La 3.22
4 Ag 0.2363 0.0000 0.6039 [2 per cell]  2 Sc 2.81, 4 Ag 2.85-3.14, 1 La 3.07

***

2.
DFT (PBE) results for an optimized crystal structure of LaSc2Ag.

Values from the calculation:
crystal system	tetragonal
total magnetization	0.0	μB per cell
D(E_F)	6.869	states/eV/f.u.
ΔH_f (0 K)	45	meV per atom

abc: 4.6209 4.6209 9.3703
angles: 90.00 90.00 90.00
Closest atoms and distances in Å follow each position.
Space group I-4m2 (No. 119)
Unique sites:
1 La 0.0000 0.0000 0.0000 [2 per cell]  8 Sc 3.27-3.29, 4 Ag 3.29
2 Sc 0.0000 0.0000 0.5000 [2 per cell]  4 La 3.27, 4 Sc 3.29, 4 Ag 3.29
3 Sc 0.0000 0.5000 0.7500 [2 per cell]  4 Ag 3.27, 4 La 3.29, 4 Sc 3.29
4 Ag 0.0000 0.5000 0.2500 [2 per cell]  8 Sc 3.27-3.29, 4 La 3.29